(1)
Below is CaTb4Ho after structural relaxation, with properties calculated at the GGA-PBE level.

a b c (Å): 17.4592 3.6250 6.3139
angles (deg): 90.00 96.86 90.00
Space group C2/m (No. 12)
Inequivalent atoms, fractional coordinates:
Ca (0.0000, 0.0000, 0.0000) [2 per cell]
Tb (0.1679, 0.0000, 0.3929) [4 per cell]
Tb (0.1718, 0.5000, 0.8862) [4 per cell]
Ho (0.0000, 0.5000, 0.5000) [2 per cell]

The value obtained for the formation energy is 0.060 eV/atom. The energy above the most stable polymorph in this dataset comes out at 0 meV/atom.


(2)
Below is LiBiP2O after structural relaxation, with properties calculated at the GGA-PBE level.

a b c (Å): 4.8016 4.8016 3.6039
angles (deg): 90.00 90.00 90.00
Space group P4/mmm (No. 123)
Inequivalent atoms, fractional coordinates:
Li (0.0000, 0.0000, 0.0000) [1 per cell]
Bi (0.5000, 0.5000, 0.5000) [1 per cell]
P (0.0000, 0.5000, 0.0000) [2 per cell]
O (0.0000, 0.0000, 0.5000) [1 per cell]

The uncorrected formation energy is 0.341 eV/atom. The energy above the most stable polymorph in this dataset comes out at 0 meV/atom.


(3)
Below is SrMgCd2Ge after structural relaxation, with properties calculated at the GGA-PBE level.

a b c (Å): 4.4913 4.5013 12.4949
angles (deg): 90.00 90.00 90.00
Space group Imm2 (No. 44)
Inequivalent atoms, fractional coordinates:
Sr (0.0000, 0.0000, 0.0000) [2 per cell]
Mg (0.0000, 0.5000, 0.7711) [2 per cell]
Cd (0.0000, 0.0000, 0.6191) [2 per cell]
Cd (0.0000, 0.5000, 0.2673) [2 per cell]
Ge (0.0000, 0.0000, 0.4028) [2 per cell]

The value obtained for the formation energy is -0.361 eV/atom.


(4)
Below is DyZr2Tc after structural relaxation, with properties calculated at the GGA-PBE level.

a b c (Å): 3.2478 3.2478 30.8845
angles (deg): 90.00 90.00 120.00
Space group R-3m (No. 166, hexagonal axes)
Inequivalent atoms, fractional coordinates:
Dy (0.0000, 0.0000, 0.0000) [3 per cell]
Zr (0.0000, 0.0000, 0.1027) [6 per cell]
Tc (0.0000, 0.0000, 0.5000) [3 per cell]

The value obtained for the formation energy is 0.199 eV/atom. The energy above the most stable polymorph in this dataset comes out at 304 meV/atom.